No. 1
VASP calculation (GGA-PBE) on an optimized crystal structure of LaTeO3.

Cell lengths 4.2763, 4.2763, 4.2763 Å; angles 90.00, 90.00, 90.00 degrees
Fractional coordinates of all 5 atoms:
Te 0.0000 0.0000 0.0000
O 0.0000 0.5000 0.0000
O 0.0000 0.0000 0.5000
O 0.5000 0.0000 0.0000
La 0.5000 0.5000 0.5000

Results
DFT total energy (eV for the cell shown): -30.5
Raw formation energy (eV per formula unit): -7.52
Volume (Å³/f.u.): 78.2
Magnetization (μB per formula unit): 0.000
SG: No. 221

=====

No. 2
VASP calculation (GGA-PBE) on an optimized crystal structure of LaTeO.

Cell lengths 4.0117, 4.0117, 10.6620 Å; angles 90.00, 90.00, 120.00 degrees
Fractional coordinates of all 6 atoms:
La 0.6667 0.3333 0.1484
La 0.3333 0.6667 0.8516
Te 0.6667 0.3333 0.6118
Te 0.3333 0.6667 0.3882
O 0.6667 0.3333 0.9186
O 0.3333 0.6667 0.0814

Results
DFT total energy (eV for the cell shown): -38.5
Raw formation energy (eV per formula unit): -6.21
Volume (Å³/f.u.): 74.3
Magnetization (μB per formula unit): 0.000
SG: No. 164

=====

No. 3
VASP calculation (GGA-PBE) on an optimized crystal structure of LaTeO3.

Cell lengths 4.5119, 4.5119, 4.5119 Å; angles 90.00, 90.00, 90.00 degrees
Fractional coordinates of all 5 atoms:
Te 0.5000 0.5000 0.5000
O 0.0000 0.5000 0.0000
O 0.0000 0.0000 0.5000
O 0.5000 0.0000 0.0000
La 0.0000 0.0000 0.0000

Results
DFT total energy (eV for the cell shown): -27.8
Raw formation energy (eV per formula unit): -4.90
Volume (Å³/f.u.): 91.8
Magnetization (μB per formula unit): 0.000
SG: No. 221

=====

No. 4
VASP calculation (GGA-PBE) on an optimized crystal structure of La3Te2O.

Cell lengths 6.3697, 8.1637, 7.6367 Å; angles 105.04, 114.65, 90.00 degrees
Fractional coordinates of all 12 atoms:
La 0.4411 0.2500 0.0000
La 0.5589 0.7500 0.0000
La 0.1236 0.0691 0.2544
La 0.8692 0.4309 0.7456
La 0.1308 0.5691 0.2544
La 0.8764 0.9309 0.7456
Te 0.6860 0.5902 0.3675
Te 0.6816 0.0902 0.3675
Te 0.3184 0.9098 0.6325
Te 0.3140 0.4098 0.6325
O 0.9321 0.7500 0.0000
O 0.0679 0.2500 0.0000

Results
DFT total energy (eV for the cell shown): -74.0
Raw formation energy (eV per formula unit): -10.96
Volume (Å³/f.u.): 173.0
Magnetization (μB per formula unit): 0.000
SG: No. 15

=====

No. 5
VASP calculation (GGA-PBE) on an optimized crystal structure of LaTeO4.

Cell lengths 5.7453, 5.4639, 5.6933 Å; angles 90.00, 99.62, 90.00 degrees
Fractional coordinates of all 12 atoms:
La 0.0000 0.0000 0.0000
La 0.5000 0.5000 0.0000
Te 0.5000 0.0000 0.5000
Te 0.0000 0.5000 0.5000
O 0.8850 0.6512 0.1825
O 0.6150 0.1512 0.8175
O 0.2562 0.2830 0.3600
O 0.2438 0.7830 0.6400
O 0.1150 0.3488 0.8175
O 0.3850 0.8488 0.1825
O 0.7438 0.7170 0.6400
O 0.7562 0.2170 0.3600

Results
DFT total energy (eV for the cell shown): -79.7
Raw formation energy (eV per formula unit): -11.97
Volume (Å³/f.u.): 88.1
Magnetization (μB per formula unit): 0.000
Energy relative to the lowest polymorph listed for this composition (meV per atom): 0.0
SG: No. 14

=====

No. 6
VASP calculation (GGA-PBE) on an optimized crystal structure of La2TeO6.

Cell lengths 5.1897, 5.1897, 10.6336 Å; angles 90.00, 90.00, 90.00 degrees
Fractional coordinates of all 18 atoms:
La 0.0000 0.0000 0.3348
La 0.5000 0.5000 0.8348
La 0.5000 0.5000 0.1652
La 0.0000 0.0000 0.6652
Te 0.0000 0.0000 0.0000
Te 0.5000 0.5000 0.5000
O 0.3213 0.3213 0.3617
O 0.6787 0.6787 0.3617
O 0.1787 0.8213 0.8617
O 0.8213 0.1787 0.8617
O 0.1787 0.8213 0.1383
O 0.8213 0.1787 0.1383
O 0.3213 0.3213 0.6383
O 0.6787 0.6787 0.6383
O 0.2671 0.2671 0.0000
O 0.7329 0.7329 0.0000
O 0.2329 0.7671 0.5000
O 0.7671 0.2329 0.5000

Results
DFT total energy (eV for the cell shown): -129.2
Raw formation energy (eV per formula unit): -21.85
Volume (Å³/f.u.): 143.2
Magnetization (μB per formula unit): 0.000
Energy relative to the lowest polymorph listed for this composition (meV per atom): 111.1
SG: No. 136

=====

No. 7
VASP calculation (GGA-PBE) on an optimized crystal structure of La3Te3O.

Cell lengths 4.3418, 13.9607, 14.1578 Å; angles 90.00, 90.00, 90.00 degrees
Fractional coordinates of all 28 atoms:
La 0.7500 0.9659 0.8405
La 0.2500 0.5341 0.3405
La 0.2500 0.0341 0.1595
La 0.7500 0.4659 0.6595
La 0.7500 0.9350 0.3695
La 0.2500 0.5650 0.8695
La 0.2500 0.0650 0.6305
La 0.7500 0.4350 0.1305
La 0.7500 0.7860 0.1391
La 0.2500 0.7140 0.6391
La 0.2500 0.2140 0.8609
La 0.7500 0.2860 0.3609
Te 0.7500 0.7249 0.8123
Te 0.2500 0.7751 0.3123
Te 0.2500 0.2751 0.1877
Te 0.7500 0.2249 0.6877
Te 0.7500 0.1260 0.0054
Te 0.2500 0.3740 0.5054
Te 0.2500 0.8740 0.9946
Te 0.7500 0.6260 0.4946
Te 0.7500 0.8973 0.6072
Te 0.2500 0.6027 0.1072
Te 0.2500 0.1027 0.3928
Te 0.7500 0.3973 0.8928
O 0.7500 0.9539 0.2050
O 0.2500 0.5461 0.7050
O 0.2500 0.0461 0.7950
O 0.7500 0.4539 0.2950

Results
DFT total energy (eV for the cell shown): -173.4
Raw formation energy (eV per formula unit): -14.17
Volume (Å³/f.u.): 214.5
Magnetization (μB per formula unit): 0.000
Energy relative to the lowest polymorph listed for this composition (meV per atom): 0.0
SG: No. 62

=====

No. 8
VASP calculation (GGA-PBE) on an optimized crystal structure of La4Te3O4.

Cell lengths 5.2574, 7.5878, 8.1666 Å; angles 117.68, 108.78, 90.00 degrees
Fractional coordinates of all 11 atoms:
La 0.2427 0.7427 0.4854
La 0.7573 0.2573 0.5146
La 0.5000 0.7536 0.0000
La 0.5000 0.2464 0.0000
Te 0.1016 0.1016 0.2033
Te 0.8984 0.8984 0.7967
Te 0.0000 0.5000 0.0000
O 0.3309 0.0838 0.6618
O 0.6691 0.4220 0.3382
O 0.6691 0.9162 0.3382
O 0.3309 0.5780 0.6618

Results
DFT total energy (eV for the cell shown): -72.6
Raw formation energy (eV per formula unit): -23.64
Volume (Å³/f.u.): 268.8
Magnetization (μB per formula unit): 0.000
SG: No. 71